Material: Nd2V2O7
Method: DFT, PBE with a Hubbard U
State: relaxed

Lattice parameters (Å, degrees): 7.3137 7.3137 7.3137 60.00 60.00 60.00
Each line ends with the local moment (μB).
Fractional coordinates of all 22 atoms:
O  0.2015  0.7985  0.7985  -0.03
O  0.0485  0.4515  0.4515  -0.03
O  0.7985  0.2015  0.7985  -0.03
O  0.7985  0.2015  0.2015  -0.03
O  0.4515  0.4515  0.0485  -0.03
Nd  0.1250  0.6250  0.6250  0.00
Nd  0.6250  0.6250  0.1250  0.00
O  0.7500  0.7500  0.7500  0.00
V  0.1250  0.1250  0.1250  1.06
O  0.4515  0.0485  0.0485  -0.03
V  0.1250  0.6250  0.1250  1.06
O  0.2015  0.2015  0.7985  -0.03
O  0.2015  0.7985  0.2015  -0.03
Nd  0.6250  0.6250  0.6250  0.00
O  0.7985  0.7985  0.2015  -0.03
V  0.1250  0.1250  0.6250  1.06
O  0.4515  0.0485  0.4515  -0.03
V  0.6250  0.1250  0.1250  1.06
O  0.5000  0.5000  0.5000  0.00
O  0.0485  0.0485  0.4515  -0.03
Nd  0.6250  0.1250  0.6250  0.00
O  0.0485  0.4515  0.0485  -0.03

Results
Final energy, eV/cell: -177.3